# Tb2YThSc (PBE, optimized geometry)
data_Tb2YThSc
_cell_length_a 7.801
_cell_length_b 4.996
_cell_length_c 7.866
_cell_angle_alpha 90.00
_cell_angle_beta 90.31
_cell_angle_gamma 90.00
_symmetry_space_group_name_H-M 'P 1 21/m 1'
_symmetry_Int_Tables_number 11
loop_
_symmetry_equiv_pos_as_xyz
'x,y,z'
'-x,-y,-z'
'-x,y+1/2,-z'
'x,-y+1/2,z'
loop_
_atom_site_label
_atom_site_type_symbol
_atom_site_fract_x
_atom_site_fract_y
_atom_site_fract_z
Tb1 Tb 0.154 0.250 0.449
Tb2 Tb 0.342 0.250 0.053
Y1 Y 0.251 0.750 0.754
Th1 Th 0.445 0.750 0.352
Sc1 Sc 0.050 0.750 0.147
# - crystal system = monoclinic
# - total moment (μB/f.u.) = 0.00
# - calculated formation energy (eV per atom) = 0.05

# Tb5Y2ThSc (PBE, optimized geometry)
data_Tb5Y2ThSc
_cell_length_a 5.674
_cell_length_b 21.770
_cell_length_c 9.468
_cell_angle_alpha 90.00
_cell_angle_beta 90.00
_cell_angle_gamma 90.00
_symmetry_space_group_name_H-M 'C m c 21'
_symmetry_Int_Tables_number 36
loop_
_symmetry_equiv_pos_as_xyz
'x,y,z'
'-x,-y,z+1/2'
'-x,y,z'
'x,-y,z+1/2'
'x+1/2,y+1/2,z'
'-x+1/2,-y+1/2,z+1/2'
'-x+1/2,y+1/2,z'
'x+1/2,-y+1/2,z+1/2'
loop_
_atom_site_label
_atom_site_type_symbol
_atom_site_fract_x
_atom_site_fract_y
_atom_site_fract_z
Tb1 Tb 0.000 0.014 0.000
Tb2 Tb 0.000 0.270 0.309
Tb3 Tb 0.000 0.302 0.704
Tb4 Tb 0.000 0.397 0.032
Tb5 Tb 0.000 0.470 0.735
Y1 Y 0.000 0.116 0.309
Y2 Y 0.000 0.131 0.697
Th1 Th 0.000 0.401 0.414
Sc1 Sc 0.000 0.189 0.001
# - crystal system = orthorhombic
# - total moment (μB/f.u.) = 0.00
# - calculated formation energy (eV per atom) = 0.17

# Tb3Y6ThSc2 (PBE, optimized geometry)
data_Tb3Y6ThSc2
_cell_length_a 6.085
_cell_length_b 10.538
_cell_length_c 11.724
_cell_angle_alpha 90.00
_cell_angle_beta 99.95
_cell_angle_gamma 90.00
_symmetry_space_group_name_H-M 'C 1 2/m 1'
_symmetry_Int_Tables_number 12
loop_
_symmetry_equiv_pos_as_xyz
'x,y,z'
'-x,-y,-z'
'-x,y,-z'
'x,-y,z'
'x+1/2,y+1/2,z'
'-x+1/2,-y+1/2,-z'
'-x+1/2,y+1/2,-z'
'x+1/2,-y+1/2,z'
loop_
_atom_site_label
_atom_site_type_symbol
_atom_site_fract_x
_atom_site_fract_y
_atom_site_fract_z
Tb1 Tb 0.000 0.000 0.000
Tb2 Tb 0.000 0.333 0.000
Y1 Y 0.249 0.000 0.745
Y2 Y 0.249 0.334 0.745
Th1 Th 0.000 0.500 0.500
Sc1 Sc 0.000 0.167 0.500
# - crystal system = monoclinic
# - total moment (μB/f.u.) = 0.00
# - calculated formation energy (eV per atom) = 0.04

# Tb3YThSc (PBE, optimized geometry)
data_Tb3YThSc
_cell_length_a 7.844
_cell_length_b 5.006
_cell_length_c 9.937
_cell_angle_alpha 90.00
_cell_angle_beta 108.37
_cell_angle_gamma 90.00
_symmetry_space_group_name_H-M 'P 1 21/m 1'
_symmetry_Int_Tables_number 11
loop_
_symmetry_equiv_pos_as_xyz
'x,y,z'
'-x,-y,-z'
'-x,y+1/2,-z'
'x,-y+1/2,z'
loop_
_atom_site_label
_atom_site_type_symbol
_atom_site_fract_x
_atom_site_fract_y
_atom_site_fract_z
Tb1 Tb 0.176 0.250 0.047
Tb2 Tb 0.177 0.250 0.542
Tb3 Tb 0.178 0.750 0.790
Y1 Y 0.174 0.750 0.297
Th1 Th 0.499 0.250 0.876
Sc1 Sc 0.499 0.250 0.373
# - crystal system = monoclinic
# - total moment (μB/f.u.) = 0.00
# - calculated formation energy (eV per atom) = 0.04

# Tb2Y4ThSc (PBE, optimized geometry)
data_Tb2Y4ThSc
_cell_length_a 5.830
_cell_length_b 5.830
_cell_length_c 7.403
_cell_angle_alpha 90.00
_cell_angle_beta 90.00
_cell_angle_gamma 90.00
_symmetry_space_group_name_H-M 'P 4/m m m'
_symmetry_Int_Tables_number 123
_symmetry_space_group_name_Hall '-P 4 2'
loop_
_atom_site_label
_atom_site_type_symbol
_atom_site_fract_x
_atom_site_fract_y
_atom_site_fract_z
Tb1 Tb 0.000 0.000 0.000
Tb2 Tb 0.500 0.500 0.500
Y1 Y 0.000 0.500 0.243
Th1 Th 0.000 0.000 0.500
Sc1 Sc 0.500 0.500 0.000
# - crystal system = tetragonal
# - total moment (μB/f.u.) = 0.01
# - calculated formation energy (eV per atom) = 0.14

# TbThZrSc (PBE, optimized geometry)
data_TbThZrSc
_cell_length_a 7.600
_cell_length_b 7.600
_cell_length_c 7.600
_cell_angle_alpha 90.00
_cell_angle_beta 90.00
_cell_angle_gamma 90.00
_symmetry_space_group_name_H-M 'F -4 3 m'
_symmetry_Int_Tables_number 216
_symmetry_space_group_name_Hall 'F -4 2 3'
loop_
_atom_site_label
_atom_site_type_symbol
_atom_site_fract_x
_atom_site_fract_y
_atom_site_fract_z
Tb1 Tb 0.000 0.000 0.000
Th1 Th 0.000 0.000 0.500
Zr1 Zr 0.250 0.250 0.750
Sc1 Sc 0.250 0.250 0.250
# - crystal system = cubic
# - total moment (μB/f.u.) = 0.00
# - calculated formation energy (eV per atom) = 0.11